No. 1
{
  "formula": "Ba4BiSe2I",
  "functional": "PBE",
  "state": "optimized geometry",
  "lattice": [[8.453, 0.000, 0.000], [0.000, 4.911, 0.000], [-2.744, 0.000, 8.072]],
  "species": ["Ba", "Ba", "Ba", "Ba", "Bi", "Se", "Se", "I"],
  "fractional_positions": [[0.229, 0.000, 0.224], [0.246, 0.500, 0.765], [0.754, 0.500, 0.235], [0.771, 0.000, 0.776], [0.000, 0.000, 0.500], [0.000, 0.500, 0.000], [0.500, 0.000, 0.000], [0.500, 0.500, 0.500]],
  "dos_ef_per_ev_fu": 0.6,
  "space_group": "No. 10",
  "e_tot_ev_per_cell": -33.2,
  "e_form_raw_ev_per_atom": -1.641,
  "m_tot_mub_per_fu": 0.00
}

***

No. 2
{
  "formula": "Ba6Bi2SeI3",
  "functional": "PBE",
  "state": "optimized geometry",
  "lattice": [[4.348, -7.529, 0.000], [4.348, 7.529, 0.000], [-2.902, 0.000, 8.299]],
  "species": ["Ba", "Ba", "Ba", "Ba", "Ba", "Ba", "Bi", "Bi", "Se", "I", "I", "I"],
  "fractional_positions": [[0.073, 0.397, 0.220], [0.250, 0.250, 0.779], [0.397, 0.073, 0.220], [0.603, 0.927, 0.780], [0.750, 0.750, 0.221], [0.927, 0.603, 0.780], [0.333, 0.667, 0.000], [0.667, 0.333, 0.000], [0.000, 0.000, 0.000], [0.169, 0.831, 0.500], [0.500, 0.500, 0.500], [0.831, 0.169, 0.500]],
  "dos_ef_per_ev_fu": 3.9,
  "space_group": "No. 12",
  "e_tot_ev_per_cell": -44.8,
  "e_form_raw_ev_per_atom": -1.446,
  "m_tot_mub_per_fu": 0.00
}

***

No. 3
{
  "formula": "Ba6BiSe2I3",
  "functional": "PBE",
  "state": "optimized geometry",
  "lattice": [[4.237, -7.332, 0.000], [4.237, 7.332, 0.000], [-2.826, 0.000, 8.220]],
  "species": ["Ba", "Ba", "Ba", "Ba", "Ba", "Ba", "Bi", "Se", "Se", "I", "I", "I"],
  "fractional_positions": [[0.083, 0.427, 0.781], [0.228, 0.228, 0.218], [0.427, 0.083, 0.781], [0.573, 0.917, 0.219], [0.772, 0.772, 0.782], [0.917, 0.573, 0.219], [0.500, 0.500, 0.000], [0.167, 0.833, 0.000], [0.833, 0.167, 0.000], [0.000, 0.000, 0.500], [0.337, 0.663, 0.500], [0.663, 0.337, 0.500]],
  "dos_ef_per_ev_fu": 4.0,
  "space_group": "No. 12",
  "e_tot_ev_per_cell": -46.0,
  "e_form_raw_ev_per_atom": -1.579,
  "m_tot_mub_per_fu": 0.00
}

***

No. 4
{
  "formula": "Ba6SnBi2I3",
  "functional": "PBE",
  "state": "optimized geometry",
  "lattice": [[11.274, -2.544, 0.000], [11.274, 2.544, 0.000], [-2.579, 0.000, 10.071]],
  "species": ["Ba", "Ba", "Ba", "Ba", "Ba", "Ba", "Sn", "Bi", "Bi", "I", "I", "I"],
  "fractional_positions": [[0.005, 0.005, 0.236], [0.326, 0.326, 0.434], [0.340, 0.340, 0.903], [0.660, 0.660, 0.097], [0.674, 0.674, 0.566], [0.995, 0.995, 0.764], [0.500, 0.500, 0.000], [0.165, 0.165, 0.331], [0.835, 0.835, 0.669], [0.168, 0.168, 0.832], [0.500, 0.500, 0.500], [0.832, 0.832, 0.168]],
  "dos_ef_per_ev_fu": 5.6,
  "space_group": "No. 12",
  "e_tot_ev_per_cell": -42.2,
  "e_form_raw_ev_per_atom": -1.190,
  "m_tot_mub_per_fu": 0.93
}

***

> What is the formula in the third record?

Ba6BiSe2I3